(1)
## SmPaNi (PBE)

Data for a relaxed structure of SmPaNi.

Properties
Energy of formation (eV per atom): -0.21
V (Å³/cell): 281.83
Space-group type: Pnma, No. 62
Offset from the most stable computed form (kJ/mol of formula units): 0
E (eV/cell): -82.5

```
SmPaNi
1.0
4.3846 0.0000 0.0000
0.0000 5.8381 0.0000
0.0000 0.0000 11.0101
Sm Ni Pa
4 4 4
direct
0.7500 0.8623 0.2836
0.2500 0.3623 0.2164
0.7500 0.6377 0.7836
0.2500 0.1377 0.7164
0.7500 0.9045 0.5554
0.2500 0.0955 0.4446
0.7500 0.5955 0.0554
0.2500 0.4045 0.9446
0.2500 0.8486 0.0147
0.7500 0.3486 0.4853
0.2500 0.6514 0.5147
0.7500 0.1514 0.9853
```

***

(2)
## Ga10Ag2Sn (PBE)

Data for a relaxed structure of Ga10Ag2Sn.

Properties
Energy of formation (eV per atom): 0.06
V (Å³/cell): 256.00
Space-group type: Fmmm, No. 69
E (eV/cell): -39.2

```
Ga10Ag2Sn
1.0
-2.2876 2.4345 4.6771
-7.2487 0.1693 -0.1019
-1.3257 -4.7508 5.3560
Ga Ag Sn
10 2 1
direct
0.4989 0.7901 0.2121
0.3522 0.6514 0.6442
0.5000 0.0000 0.5000
0.0036 0.3486 0.6442
0.2890 0.2099 0.2121
0.6478 0.3486 0.3558
0.5011 0.2099 0.7879
0.0000 0.0000 0.5000
0.7110 0.7901 0.7879
0.9964 0.6514 0.3558
0.5000 0.5000 0.0000
0.0000 0.5000 0.0000
0.0000 0.0000 0.0000
```

***

(3)
## K2CaCd2Se4 (PBE)

Data for a relaxed structure of K2CaCd2Se4.

Properties
V (Å³/cell): 269.05
Space-group type: C2/m, No. 12
E_form (uncorrected) (eV/atom): -1.14
E (eV/cell): -30.2

```
K2CaCd2Se4
1.0
4.3251 0.0000 0.0000
0.0000 8.0394 0.2553
-2.1626 -2.9366 7.6445
K Cd Se Ca
2 2 4 1
direct
0.8787 0.4526 0.7575
0.1213 0.5474 0.2425
0.3302 0.0188 0.6605
0.6698 0.9812 0.3395
0.4863 0.2439 0.9726
0.5137 0.7561 0.0274
0.7920 0.8030 0.5840
0.2080 0.1970 0.4160
0.0000 0.0000 0.0000
```

***

(4)
## Ba4CaCl10 (PBE)

Data for a relaxed structure of Ba4CaCl10.

Properties
V (Å³/cell): 482.81
Space-group type: I4/m, No. 87
E_form (uncorrected) (eV/atom): -2.50
E (eV/cell): -65.7

```
Ba4CaCl10
1.0
6.6369 0.0000 2.9968
3.3184 8.1426 1.4984
-0.0325 0.0000 8.9195
Ba Cl Ca
4 10 1
direct
0.6009 0.1963 0.6019
0.3991 0.8037 0.3981
0.2028 0.3981 0.1963
0.7972 0.6019 0.8037
0.0472 0.0948 0.2869
0.2500 0.5000 0.5000
0.4288 0.9052 0.7131
0.9528 0.9052 0.7131
0.1420 0.2869 0.9052
0.8580 0.7131 0.0948
0.7500 0.5000 0.5000
0.3341 0.7131 0.0948
0.5712 0.0948 0.2869
0.6659 0.2869 0.9052
0.0000 0.0000 0.0000
```

***

(5)
## MnReTc2 (PBE)

Data for a relaxed structure of MnReTc2.

Properties
Energy of formation (eV per atom): 0.17
V (Å³/cell): 57.22
Space-group type: R3m, No. 160
E (eV/cell): -41.7

```
MnReTc2
1.0
4.3216 0.0000 0.0000
2.1608 3.7426 0.0000
2.1608 1.2475 3.5378
Mn Tc Re
1 2 1
direct
0.7500 0.7500 0.7501
0.2500 0.2500 0.2499
0.0001 0.0001 0.9996
0.4999 0.4999 0.5004
```

***

(6)
## HfPdRu2S (PBE)

Data for a relaxed structure of HfPdRu2S.

Properties
V (Å³/cell): 113.21
Space-group type: P4/mmm, No. 123
E_form (uncorrected) (eV/atom): 1.46
E (eV/cell): -30.5

```
HfPdRu2S
1.0
4.8053 0.0000 0.0000
0.0000 4.9031 0.0000
0.0000 0.0000 4.8053
Ru S Pd Hf
2 1 1 1
direct
0.5000 0.0000 0.0000
0.0000 0.0000 0.5000
0.5000 0.5000 0.5000
0.0000 0.5000 0.0000
0.0000 0.0000 0.0000
```

***

(7)
## LiCa2CuO (PBE)

Data for a relaxed structure of LiCa2CuO.

Properties
V (Å³/cell): 92.85
Space-group type: P4/mmm, No. 123
E_form (uncorrected) (eV/atom): -1.10
E (eV/cell): -20.5

```
LiCa2CuO
1.0
4.8037 0.0000 0.0000
0.0000 4.8037 0.0000
0.0000 0.0000 4.0238
O Li Ca Cu
1 1 2 1
direct
0.0000 0.0000 0.0000
0.0000 0.0000 0.5000
0.0000 0.5000 0.0000
0.5000 0.0000 0.0000
0.5000 0.5000 0.5000
```

***

(8)
## Ac3Zn2Ge2 (PBE)

Data for a relaxed structure of Ac3Zn2Ge2.

Properties
Energy of formation (eV per atom): -0.53
V (Å³/cell): 200.90
Space-group type: C2/m, No. 12
Offset from the most stable computed form (kJ/mol of formula units): 35
E (eV/cell): -27.8

```
Ac3Zn2Ge2
1.0
-2.5412 1.6741 3.2878
-1.8756 -5.7947 -1.5513
6.8507 0.3345 5.1247
Ge Zn Ac
2 2 3
direct
0.0372 0.0744 0.3118
0.9628 0.9256 0.6882
0.8080 0.6160 0.0660
0.1920 0.3840 0.9340
0.5000 0.0000 0.0000
0.6686 0.3371 0.6281
0.3314 0.6629 0.3719
```

***

(9)
## Cd2AsP (PBE)

Data for a relaxed structure of Cd2AsP.

Properties
Energy of formation (eV per atom): 0.24
V (Å³/cell): 86.50
Space-group type: C2/m, No. 12
Offset from the most stable computed form (kJ/mol of formula units): 62
E (eV/cell): -10.9

```
Cd2AsP
1.0
5.4463 -0.0017 -0.0033
-2.0038 4.3687 0.0516
1.4387 1.9044 3.6571
Cd As P
2 1 1
direct
0.0000 0.0000 0.0000
0.5000 0.0000 0.5000
0.5000 0.5000 0.0000
0.0000 0.5000 0.5000
```

***

(10)
## CsTmSe2O8 (PBE)

Data for a relaxed structure of CsTmSe2O8.

Properties
V (Å³/cell): 239.68
Space-group type: P-3, No. 147
E_form (uncorrected) (eV/atom): -1.58
E (eV/cell): -70.9

```
CsTmSe2O8
1.0
5.5045 0.0000 0.0000
-2.7522 4.7670 0.0000
0.0000 0.0000 9.1341
O Tm Se Cs
8 1 2 1
direct
0.2679 0.9144 0.6472
0.0856 0.3535 0.6472
0.6465 0.7321 0.6472
0.9144 0.6465 0.3528
0.3535 0.2679 0.3528
0.3333 0.6667 0.8905
0.7321 0.0856 0.3528
0.6667 0.3333 0.1095
0.0000 0.0000 0.5000
0.3333 0.6667 0.7104
0.6667 0.3333 0.2896
0.0000 0.0000 0.0000
```

***

(11)
## NaLi3Hg3 (PBE)

Data for a relaxed structure of NaLi3Hg3.

Properties
Energy of formation (eV per atom): -0.03
V (Å³/cell): 399.94
Space-group type: Pm-3n, No. 223
E (eV/cell): -16.3

```
NaLi3Hg3
1.0
-2.4562 -5.0606 4.7582
-3.1103 -3.7115 -5.5528
6.2110 -3.8599 -0.8990
Li Na Hg
6 2 6
direct
0.0000 0.2500 0.5000
0.5000 0.0000 0.7500
0.2500 0.5000 0.0000
0.0000 0.7500 0.5000
0.7500 0.5000 0.0000
0.5000 0.0000 0.2500
0.0000 0.0000 0.0000
0.5000 0.5000 0.5000
0.0000 0.5000 0.7500
0.2500 0.0000 0.5000
0.5000 0.2500 0.0000
0.5000 0.7500 0.0000
0.7500 0.0000 0.5000
0.0000 0.5000 0.2500
```

***

(12)
## TmPuGaGe (PBE)

Data for a relaxed structure of TmPuGaGe.

Properties
Energy of formation (eV per atom): -0.46
V (Å³/cell): 88.73
Space-group type: F-43m, No. 216
E (eV/cell): -28.3

```
TmPuGaGe
1.0
5.0065 0.0000 0.0000
2.5032 4.3358 0.0000
2.5032 1.4453 4.0878
Ga Ge Tm Pu
1 1 1 1
direct
0.2500 0.2500 0.2500
0.7500 0.7500 0.7500
0.5000 0.5000 0.5000
0.0000 0.0000 0.0000
```

***

(13)
## CrCuRu2 (PBE)

Data for a relaxed structure of CrCuRu2.

Properties
Energy of formation (eV per atom): 0.20
V (Å³/cell): 52.03
Space-group type: Pmmm, No. 47
E (eV/cell): -31.5

```
CrCuRu2
1.0
3.5388 0.0000 0.0000
0.0000 2.7125 -0.0071
0.0000 2.7306 5.4135
Cr Ru Cu
1 2 1
direct
0.5000 0.2500 0.2500
0.0000 0.9952 0.0035
0.0000 0.5048 0.4965
0.5000 0.7500 0.7500
```

***

(14)
## Nd6US8 (PBE)

Data for a relaxed structure of Nd6US8.

Properties
V (Å³/cell): 376.84
Space-group type: Fm-3m, No. 225
E_form (uncorrected) (eV/atom): -1.92
E (eV/cell): -101.7

```
Nd6US8
1.0
7.0213 0.0000 4.0538
2.3404 6.6198 4.0538
0.0000 0.0000 8.1075
S U Nd
8 1 6
direct
0.2500 0.2500 0.2500
0.7566 0.2434 0.2434
0.2434 0.7566 0.7566
0.7500 0.7500 0.7500
0.7566 0.2434 0.7566
0.2434 0.7566 0.2434
0.7566 0.7566 0.2434
0.2434 0.2434 0.7566
0.0000 0.0000 0.0000
0.0000 0.0000 0.5000
0.0000 0.5000 0.5000
0.5000 0.5000 0.0000
0.5000 0.0000 0.0000
0.0000 0.5000 0.0000
0.5000 0.0000 0.5000
```

***

(15)
## Hg4SeS3 (PBE)

Data for a relaxed structure of Hg4SeS3.

Properties
V (Å³/cell): 445.68
Space-group type: Pmn2_1, No. 31
E_form (uncorrected) (eV/atom): -0.15
E (eV/cell): -36.5

```
Hg4SeS3
1.0
7.0027 0.0000 0.0000
0.0000 7.4253 0.0000
0.0000 0.0000 8.5713
S Hg Se
6 8 2
direct
0.5031 0.3339 0.2491
0.5020 0.8290 0.0000
0.0031 0.6661 0.7491
0.0020 0.1710 0.5000
0.0031 0.6661 0.2509
0.5031 0.3339 0.7509
0.1312 0.3379 0.7442
0.6312 0.6621 0.2442
0.6137 0.1617 0.0000
0.1294 0.8225 0.0000
0.1312 0.3379 0.2558
0.6312 0.6621 0.7558
0.1137 0.8383 0.5000
0.6294 0.1775 0.5000
0.5016 0.8347 0.5000
0.0016 0.1653 0.0000
```

***

(16)
## RbBa (PBE)

Data for a relaxed structure of RbBa.

Properties
Energy of formation (eV per atom): 0.12
V (Å³/cell): 148.28
Space-group type: Pm, No. 6
E (eV/cell): -2.7

```
RbBa
1.0
-3.2354 2.8718 1.5704
-4.3339 -1.2267 -6.6855
-0.2467 -4.4963 0.9849
Ba Rb
1 1
direct
0.0563 0.0000 0.6210
0.3888 0.5000 0.2803
```

***

(17)
## HfSbPdI2 (PBE)

Data for a relaxed structure of HfSbPdI2.

Properties
V (Å³/cell): 149.78
Space-group type: P4/mmm, No. 123
Offset from the most stable computed form (kJ/mol of formula units): 102
E_form (uncorrected) (eV/atom): 0.60
E (eV/cell): -19.4

```
HfSbPdI2
1.0
-1.9054 2.5180 -4.2215
-4.9015 -1.3140 1.4285
-0.3782 4.5402 2.8788
I Hf Pd Sb
2 1 1 1
direct
0.5000 0.0000 0.0000
0.0000 0.5000 0.0000
0.5000 0.5000 0.5000
0.0000 0.0000 0.0000
0.0000 0.0000 0.5000
```

***

(18)
## PrGa2CuAg (PBE)

Data for a relaxed structure of PrGa2CuAg.

Properties
Energy of formation (eV per atom): -0.39
V (Å³/cell): 99.01
Space-group type: I-4m2, No. 119
E (eV/cell): -19.7

```
PrGa2CuAg
1.0
4.3855 0.0000 0.0000
0.0000 4.3855 0.0000
-2.1927 -2.1927 5.1480
Ag Pr Ga Cu
1 1 2 1
direct
0.7500 0.2500 0.5000
0.0000 0.0000 0.0000
0.3797 0.3797 0.7594
0.6203 0.6203 0.2406
0.2500 0.7500 0.5000
```

***

(19)
## SrZr2Se (PBE)

Data for a relaxed structure of SrZr2Se.

Properties
V (Å³/cell): 107.13
Space-group type: Imm2, No. 44
E_form (uncorrected) (eV/atom): -0.12
E (eV/cell): -22.7

```
SrZr2Se
1.0
6.2675 0.0087 -0.0014
2.5164 5.7401 0.0014
-3.4666 -4.2883 2.9790
Zr Se Sr
2 1 1
direct
0.7222 0.2222 0.5000
0.9730 0.9730 0.0000
0.5235 0.5235 0.0000
0.2812 0.7812 0.5000
```

***

(20)
## BiW3Au (PBE)

Data for a relaxed structure of BiW3Au.

Properties
Energy of formation (eV per atom): 2.47
V (Å³/cell): 118.99
Space-group type: Pm-3m, No. 221
Offset from the most stable computed form (kJ/mol of formula units): 0
E (eV/cell): -33.7

```
BiW3Au
1.0
4.9185 0.0000 0.0000
0.0000 4.9185 0.0000
0.0000 0.0000 4.9185
Bi Au W
1 1 3
direct
0.5000 0.5000 0.5000
0.0000 0.0000 0.0000
0.0000 0.5000 0.0000
0.0000 0.0000 0.5000
0.5000 0.0000 0.0000
```

***

(21)
## Rb5NaBi2 (PBE)

Data for a relaxed structure of Rb5NaBi2.

Properties
Energy of formation (eV per atom): -0.32
V (Å³/cell): 845.01
Space-group type: P6_3/mmc, No. 194
E (eV/cell): -32.9

```
Rb5NaBi2
1.0
6.5593 0.0000 0.0000
-3.2796 5.6805 0.0000
0.0000 0.0000 22.6789
Rb Na Bi
10 2 4
direct
0.6667 0.3333 0.0512
0.0000 0.0000 0.1308
0.6667 0.3333 0.4488
0.6667 0.3333 0.2500
0.3333 0.6667 0.7500
0.3333 0.6667 0.5512
0.3333 0.6667 0.9488
0.0000 0.0000 0.6308
0.0000 0.0000 0.8692
0.0000 0.0000 0.3692
0.3333 0.6667 0.2500
0.6667 0.3333 0.7500
0.6667 0.3333 0.8828
0.3333 0.6667 0.3829
0.6667 0.3333 0.6172
0.3333 0.6667 0.1172
```

***

(22)
## ZrCoSb2 (PBE)

Data for a relaxed structure of ZrCoSb2.

Properties
V (Å³/cell): 84.22
Space-group type: C2/m, No. 12
E_form (uncorrected) (eV/atom): -0.10
E (eV/cell): -24.3

```
ZrCoSb2
1.0
4.0068 -0.1050 0.1062
2.1035 3.4118 0.1062
1.8448 0.9984 6.1265
Co Zr Sb
1 1 2
direct
0.7500 0.7500 0.7500
0.2500 0.2500 0.2500
0.4834 0.4834 0.5500
0.0166 0.0166 0.9500
```

***

(23)
## ZnCoRu2 (PBE)

Data for a relaxed structure of ZnCoRu2.

Properties
Energy of formation (eV per atom): 0.61
V (Å³/cell): 118.33
Space-group type: I-42d, No. 122
E (eV/cell): -48.9

```
ZnCoRu2
1.0
6.9815 0.0000 0.0000
0.0000 6.9815 0.0000
3.4908 3.4908 2.4277
Co Ru Zn
2 4 2
direct
0.2500 0.7500 0.5000
0.5000 0.5000 0.0000
0.3750 0.4252 0.7500
0.1752 0.6250 0.2500
0.8750 0.8248 0.7500
0.5748 0.1250 0.2500
0.7500 0.2500 0.5000
0.0000 0.0000 0.0000
```

***

(24)
## NdGdY (PBE)

Data for a relaxed structure of NdGdY.

Properties
Energy of formation (eV per atom): 0.02
V (Å³/cell): 100.25
Space-group type: P3m1, No. 156
Offset from the most stable computed form (kJ/mol of formula units): 0
E (eV/cell): -25.3

```
NdGdY
1.0
-0.2686 3.5829 -0.4706
-0.9676 -2.2551 -2.6662
-8.2290 -0.2023 3.1575
Gd Y Nd
1 1 1
direct
0.6667 0.3333 0.3355
0.3333 0.6667 0.6656
0.0000 0.0000 0.9990
```

***

(25)
## Pt (PBE)

Data for a relaxed structure of Pt.

Properties
Energy of formation (eV per atom): 0.91
V (Å³/cell): 83.23
Space-group type: P6_3/mmc, No. 194
Offset from the most stable computed form (kJ/mol of formula units): 88
E (eV/cell): -20.5

```
Pt
1.0
-1.6041 2.3991 3.2779
-0.9006 -4.2674 -0.2268
4.1008 -1.0115 2.7471
Pt
4
direct
0.3333 0.6667 0.2500
0.6667 0.3333 0.7500
0.0000 0.0000 0.2500
0.0000 0.0000 0.7500
```